(1)
Below is a geometry-optimized CaCN2O structure, with properties calculated at the GGA-PBE level.

Values from the calculation:
Volume (Å³ per cell): 60.4
Calculated density (g cm⁻³): 2.641
DOS at the Fermi energy (states/eV per cell): 2.73
Raw total energy (eV/cell): -29.45
Raw formation energy (eV/atom): 0.6775

Structure (CIF):
```
data_CaCN2O
_chemical_formula_sum 'Ca1 C1 N2 O1'
_space_group_name_H-M_alt 'P 1'
_space_group_IT_number 1
_cell_length_a 3.087
_cell_length_b 3.087
_cell_length_c 6.341
_cell_angle_alpha 90.00
_cell_angle_beta 90.00
_cell_angle_gamma 90.00
loop_
_space_group_symop_operation_xyz
'x,y,z'
loop_
_atom_site_label
_atom_site_type_symbol
_atom_site_fract_x
_atom_site_fract_y
_atom_site_fract_z
Ca1 Ca 0.000 0.000 0.000
C1 C 0.500 0.500 0.500
N1 N 0.000 0.500 0.500
N2 N 0.500 0.000 0.500
O1 O 0.500 0.500 0.000
```

=====

(2)
Below is a geometry-optimized CaPm2C2N6 structure, with properties calculated at the GGA-PBE level.

Values from the calculation:
Volume (Å³ per cell): 138.1
Calculated density (g cm⁻³): 5.268
DOS at the Fermi energy (states/eV per cell): 3.83
Raw total energy (eV/cell): -86.68
Raw formation energy (eV/atom): -0.6161

Structure (CIF):
```
data_CaPm2C2N6
_chemical_formula_sum 'Ca1 Pm2 C2 N6'
_space_group_name_H-M_alt 'P 1'
_space_group_IT_number 1
_cell_length_a 5.319
_cell_length_b 5.319
_cell_length_c 6.486
_cell_angle_alpha 114.76
_cell_angle_beta 114.76
_cell_angle_gamma 59.21
loop_
_space_group_symop_operation_xyz
'x,y,z'
loop_
_atom_site_label
_atom_site_type_symbol
_atom_site_fract_x
_atom_site_fract_y
_atom_site_fract_z
Ca1 Ca 0.000 0.000 0.000
Pm1 Pm 0.202 0.202 0.675
Pm2 Pm 0.798 0.798 0.325
C1 C 0.471 0.471 0.257
C2 C 0.529 0.529 0.743
N1 N 0.221 0.668 0.677
N2 N 0.305 0.305 0.114
N3 N 0.332 0.779 0.323
N4 N 0.668 0.221 0.677
N5 N 0.695 0.695 0.886
N6 N 0.779 0.332 0.323
```

=====

Values of magnetic moment, in order: 0.0; 0.0, all in Bohr magnetons per cell.